Entry 1:
! K2BeZn, optimized geometry, DFT GGA-PBE; values from VASP
&SYSTEM
  ibrav = 0, nat = 4, ntyp = 3
/
ATOMIC_SPECIES
K 39.10 K.upf
Be 9.01 Be.upf
Zn 65.41 Zn.upf
ATOMIC_POSITIONS crystal
K 0.0000 0.0000 0.2370
K 0.0000 0.0000 0.7630
Be 0.5000 0.5000 0.0000
Zn 0.5000 0.5000 0.5000
CELL_PARAMETERS angstrom
4.0764 0.0000 0.0000
0.0000 4.0764 0.0000
0.0000 0.0000 8.3107
! - energy of formation (eV per atom) = 0.692
! - electronic total energy (eV/atom) = -1.1069
! - energy above the most stable polymorph in this dataset (meV/atom) = 321



Entry 2:
! PuSi4Tc4, optimized geometry, DFT GGA-PBE; values from VASP
&SYSTEM
  ibrav = 0, nat = 18, ntyp = 3
/
ATOMIC_SPECIES
Pu 244.00 Pu.upf
Si 28.09 Si.upf
Tc 98.00 Tc.upf
ATOMIC_POSITIONS crystal
Pu 0.2500 0.2500 0.2500
Pu 0.7500 0.7500 0.7500
Si 0.0533 0.9053 0.1650
Si 0.0947 0.5533 0.6650
Si 0.4053 0.9467 0.6650
Si 0.4467 0.5947 0.1650
Si 0.5533 0.4053 0.8350
Si 0.5947 0.0533 0.3350
Si 0.9053 0.4467 0.3350
Si 0.9467 0.0947 0.8350
Tc 0.1202 0.8700 0.6585
Tc 0.1300 0.6202 0.1585
Tc 0.3700 0.8798 0.1585
Tc 0.3797 0.6300 0.6585
Tc 0.6202 0.3700 0.3415
Tc 0.6300 0.1202 0.8415
Tc 0.8700 0.3797 0.8415
Tc 0.8798 0.1300 0.3415
CELL_PARAMETERS angstrom
8.0457 0.0000 0.0000
0.0000 8.0457 0.0000
0.0000 0.0000 4.6921
! - electronic total energy (eV/atom) = -9.0327



Entry 3:
! TbTeBr, optimized geometry, DFT GGA-PBE; values from VASP
&SYSTEM
  ibrav = 0, nat = 6, ntyp = 3
/
ATOMIC_SPECIES
Tb 158.93 Tb.upf
Te 127.60 Te.upf
Br 79.90 Br.upf
ATOMIC_POSITIONS crystal
Tb 0.1583 0.1583 0.0000
Tb 0.8417 0.8417 0.0000
Te 0.2959 0.2959 0.0000
Te 0.7041 0.7041 0.0000
Br 0.5737 0.0737 0.5000
Br 0.9263 0.4263 0.5000
CELL_PARAMETERS angstrom
-2.0884 2.0884 11.9010
2.0884 -2.0884 11.9010
2.0884 2.0884 -11.9010
! - electronic total energy (eV/atom) = -4.6974



Entry 4:
! Ti5Fe2OsRh2, optimized geometry, DFT GGA-PBE; values from VASP
&SYSTEM
  ibrav = 0, nat = 20, ntyp = 4
/
ATOMIC_SPECIES
Ti 47.87 Ti.upf
Fe 55.84 Fe.upf
Os 190.23 Os.upf
Rh 102.91 Rh.upf
ATOMIC_POSITIONS crystal
Ti 0.0000 0.5000 0.0000
Ti 0.0876 0.1953 0.0000
Ti 0.1953 0.9124 0.0000
Ti 0.3047 0.4124 0.0000
Ti 0.4124 0.6953 0.0000
Ti 0.5000 0.0000 0.0000
Ti 0.5876 0.3047 0.0000
Ti 0.6953 0.5876 0.0000
Ti 0.8047 0.0876 0.0000
Ti 0.9124 0.8047 0.0000
Fe 0.1280 0.3720 0.5000
Fe 0.3720 0.8720 0.5000
Fe 0.6280 0.1280 0.5000
Fe 0.8720 0.6280 0.5000
Os 0.0000 0.0000 0.5000
Os 0.5000 0.5000 0.5000
Rh 0.1682 0.6682 0.5000
Rh 0.3318 0.1682 0.5000
Rh 0.6682 0.8318 0.5000
Rh 0.8318 0.3318 0.5000
CELL_PARAMETERS angstrom
9.9357 0.0000 0.0000
0.0000 9.9357 0.0000
0.0000 0.0000 3.0205
! - energy of formation (eV per atom) = -0.267
! - electronic total energy (eV/atom) = -8.5004



Entry 5:
! MoP2Ru, optimized geometry, DFT GGA-PBE; values from VASP
&SYSTEM
  ibrav = 0, nat = 4, ntyp = 3
/
ATOMIC_SPECIES
Mo 95.94 Mo.upf
P 30.97 P.upf
Ru 101.07 Ru.upf
ATOMIC_POSITIONS crystal
Mo 0.0000 0.0000 0.0000
P 0.2500 0.7500 0.5000
P 0.5000 0.5000 0.0000
Ru 0.7500 0.2500 0.5000
CELL_PARAMETERS angstrom
-1.7357 1.7357 4.5931
1.7357 -1.7357 4.5931
1.7357 1.7357 -4.5931
! - energy of formation (eV per atom) = -0.020
! - electronic total energy (eV/atom) = -7.7518



Entry 6:
! ScB3C, optimized geometry, DFT GGA-PBE; values from VASP
&SYSTEM
  ibrav = 0, nat = 5, ntyp = 3
/
ATOMIC_SPECIES
Sc 44.96 Sc.upf
B 10.81 B.upf
C 12.01 C.upf
ATOMIC_POSITIONS crystal
Sc 0.0000 0.0000 0.0000
B 0.0000 0.0000 0.5000
B 0.0000 0.5000 0.0000
B 0.5000 0.0000 0.0000
C 0.5000 0.5000 0.5000
CELL_PARAMETERS angstrom
4.3801 0.0000 0.0000
0.0000 4.3801 0.0000
0.0000 0.0000 4.3801
! - energy of formation (eV per atom) = 3.362
! - electronic total energy (eV/atom) = -3.7558
! - energy above the most stable polymorph in this dataset (meV/atom) = 2070



Entry 7:
! CdIn2Hg7Bi2, optimized geometry, DFT GGA-PBE; values from VASP
&SYSTEM
  ibrav = 0, nat = 12, ntyp = 4
/
ATOMIC_SPECIES
Cd 112.41 Cd.upf
In 114.82 In.upf
Hg 200.59 Hg.upf
Bi 208.98 Bi.upf
ATOMIC_POSITIONS crystal
Cd 0.0000 0.0000 0.0000
In 0.1041 0.7277 0.3764
In 0.3513 0.7277 0.6236
Hg 0.0242 0.5242 0.5000
Hg 0.0732 0.1989 0.8743
Hg 0.0744 0.3426 0.7318
Hg 0.3245 0.1989 0.1257
Hg 0.6016 0.2011 0.4005
Hg 0.6107 0.3426 0.2682
Hg 0.8006 0.2011 0.5995
Bi 0.0961 0.8484 0.2477
Bi 0.6007 0.8484 0.7523
CELL_PARAMETERS angstrom
-2.9632 11.6908 3.0608
2.9632 -11.6908 3.0608
2.9632 11.6908 -3.0608
! - energy of formation (eV per atom) = 0.109
! - electronic total energy (eV/atom) = -1.2470



Entry 8:
! La2ScCdIr, optimized geometry, DFT GGA-PBE; values from VASP
&SYSTEM
  ibrav = 0, nat = 5, ntyp = 4
/
ATOMIC_SPECIES
La 138.91 La.upf
Sc 44.96 Sc.upf
Cd 112.41 Cd.upf
Ir 192.22 Ir.upf
ATOMIC_POSITIONS crystal
La 0.0000 0.5000 0.0000
La 0.5000 0.0000 0.0000
Sc 0.0000 0.0000 0.0000
Cd 0.5000 0.5000 0.5000
Ir 0.0000 0.0000 0.5000
CELL_PARAMETERS angstrom
5.7743 0.0000 0.0000
0.0000 5.7743 0.0000
0.0000 0.0000 4.6694
! - energy of formation (eV per atom) = 0.392
! - electronic total energy (eV/atom) = -4.8009
! - energy above the most stable polymorph in this dataset (meV/atom) = 743



Entry 9:
! Mg3InHg, optimized geometry, DFT GGA-PBE; values from VASP
&SYSTEM
  ibrav = 0, nat = 10, ntyp = 3
/
ATOMIC_SPECIES
Mg 24.30 Mg.upf
In 114.82 In.upf
Hg 200.59 Hg.upf
ATOMIC_POSITIONS crystal
Mg 0.2500 0.0038 0.2110
Mg 0.2500 0.4962 0.2110
Mg 0.2500 0.7500 0.5723
Mg 0.7500 0.2500 0.4277
Mg 0.7500 0.5038 0.7890
Mg 0.7500 0.9962 0.7890
In 0.2500 0.2500 0.6431
In 0.7500 0.7500 0.3569
Hg 0.2500 0.7500 0.9185
Hg 0.7500 0.2500 0.0815
CELL_PARAMETERS angstrom
4.7094 0.0000 0.0000
0.0000 6.1630 0.0000
0.0000 0.0000 8.2599
! - energy of formation (eV per atom) = -0.083
! - electronic total energy (eV/atom) = -1.6478
! - energy above the most stable polymorph in this dataset (meV/atom) = 15



Entry 10:
! RbTe4AsPb2, optimized geometry, DFT GGA-PBE; values from VASP
&SYSTEM
  ibrav = 0, nat = 16, ntyp = 4
/
ATOMIC_SPECIES
Rb 85.47 Rb.upf
Te 127.60 Te.upf
As 74.92 As.upf
Pb 207.20 Pb.upf
ATOMIC_POSITIONS crystal
Rb 0.5000 0.0000 0.0000
Rb 0.5000 0.5000 0.5000
Te 0.2167 0.7345 0.4821
Te 0.2426 0.2706 0.5280
Te 0.2426 0.7146 0.9720
Te 0.2476 0.2655 0.9821
Te 0.7524 0.7345 0.0179
Te 0.7574 0.2854 0.0280
Te 0.7574 0.7294 0.4720
Te 0.7833 0.2655 0.5179
As 0.0000 0.5000 0.5000
As 0.5000 0.5000 0.0000
Pb 0.0000 0.0000 0.0000
Pb 0.0000 0.0000 0.5000
Pb 0.0000 0.5000 0.0000
Pb 0.5000 0.0000 0.5000
CELL_PARAMETERS angstrom
-4.6014 4.6604 6.4974
4.6014 -4.6604 6.4974
4.6014 4.6604 -6.4974
! - electronic total energy (eV/atom) = -3.4484



Entry 11:
! Pr3TeBr2O6, optimized geometry, DFT GGA-PBE; values from VASP
&SYSTEM
  ibrav = 0, nat = 12, ntyp = 4
/
ATOMIC_SPECIES
Pr 140.91 Pr.upf
Te 127.60 Te.upf
Br 79.90 Br.upf
O 16.00 O.upf
ATOMIC_POSITIONS crystal
Pr 0.0000 0.0000 0.0000
Pr 0.0000 0.5000 0.5000
Pr 0.5000 0.0000 0.5000
Te 0.5000 0.5000 0.5000
Br 0.2195 0.2195 0.8830
Br 0.7805 0.7805 0.1170
O 0.2051 0.6810 0.6965
O 0.3190 0.7949 0.3035
O 0.3392 0.3392 0.3409
O 0.6608 0.6608 0.6591
O 0.6810 0.2051 0.6965
O 0.7949 0.3190 0.3035
CELL_PARAMETERS angstrom
6.1319 -3.4408 0.0000
6.1319 3.4408 0.0000
-1.0660 0.0000 5.7818
! - electronic total energy (eV/atom) = -6.1851



Entry 12:
! PmMgSc2Pt4, optimized geometry, DFT GGA-PBE; values from VASP
&SYSTEM
  ibrav = 0, nat = 8, ntyp = 4
/
ATOMIC_SPECIES
Pm 145.00 Pm.upf
Mg 24.30 Mg.upf
Sc 44.96 Sc.upf
Pt 195.08 Pt.upf
ATOMIC_POSITIONS crystal
Pm 0.0000 0.0000 0.0000
Mg 0.5000 0.5000 0.5000
Sc 0.2396 0.2396 0.2396
Sc 0.7604 0.7604 0.7604
Pt 0.1282 0.1282 0.1282
Pt 0.3948 0.3948 0.3948
Pt 0.6052 0.6052 0.6052
Pt 0.8718 0.8718 0.8718
CELL_PARAMETERS angstrom
2.2906 1.3225 8.4724
-2.2906 1.3225 8.4724
0.0000 -2.6450 8.4724
! - energy of formation (eV per atom) = -1.099
! - electronic total energy (eV/atom) = -6.4958



Entry 13:
! Sc5Tl2Ni2Au, optimized geometry, DFT GGA-PBE; values from VASP
&SYSTEM
  ibrav = 0, nat = 20, ntyp = 4
/
ATOMIC_SPECIES
Sc 44.96 Sc.upf
Tl 204.38 Tl.upf
Ni 58.69 Ni.upf
Au 196.97 Au.upf
ATOMIC_POSITIONS crystal
Sc 0.0000 0.5000 0.0000
Sc 0.0723 0.2036 0.0000
Sc 0.2036 0.9277 0.0000
Sc 0.2964 0.4277 0.0000
Sc 0.4277 0.7036 0.0000
Sc 0.5000 0.0000 0.0000
Sc 0.5723 0.2964 0.0000
Sc 0.7036 0.5723 0.0000
Sc 0.7964 0.0723 0.0000
Sc 0.9277 0.7964 0.0000
Tl 0.1729 0.6729 0.5000
Tl 0.3271 0.1729 0.5000
Tl 0.6729 0.8271 0.5000
Tl 0.8271 0.3271 0.5000
Ni 0.1286 0.3714 0.5000
Ni 0.3714 0.8714 0.5000
Ni 0.6286 0.1286 0.5000
Ni 0.8714 0.6286 0.5000
Au 0.0000 0.0000 0.5000
Au 0.5000 0.5000 0.5000
CELL_PARAMETERS angstrom
11.1138 0.0000 0.0000
0.0000 11.1138 0.0000
0.0000 0.0000 3.3087
! - energy of formation (eV per atom) = -0.435
! - electronic total energy (eV/atom) = -5.5577



Entry 14:
! CePr2Si3Ir4, optimized geometry, DFT GGA-PBE; values from VASP
&SYSTEM
  ibrav = 0, nat = 10, ntyp = 4
/
ATOMIC_SPECIES
Ce 140.12 Ce.upf
Pr 140.91 Pr.upf
Si 28.09 Si.upf
Ir 192.22 Ir.upf
ATOMIC_POSITIONS crystal
Ce 0.0000 0.0000 0.0000
Pr 0.0000 0.5000 0.7285
Pr 0.5000 0.0000 0.2715
Si 0.0000 0.5000 0.3812
Si 0.5000 0.0000 0.6188
Si 0.5000 0.5000 0.0000
Ir 0.0000 0.0000 0.5000
Ir 0.0000 0.5000 0.1563
Ir 0.5000 0.0000 0.8437
Ir 0.5000 0.5000 0.5000
CELL_PARAMETERS angstrom
4.2235 0.0000 0.0000
0.0000 4.2235 0.0000
0.0000 0.0000 10.8406
! - electronic total energy (eV/atom) = -7.6194



Entry 15:
! SrSI2N, optimized geometry, DFT GGA-PBE; values from VASP
&SYSTEM
  ibrav = 0, nat = 5, ntyp = 4
/
ATOMIC_SPECIES
Sr 87.62 Sr.upf
S 32.06 S.upf
I 126.90 I.upf
N 14.01 N.upf
ATOMIC_POSITIONS crystal
Sr 0.0000 0.0000 0.0000
S 0.5000 0.5000 0.5000
I 0.0000 0.5000 0.5000
I 0.5000 0.0000 0.5000
N 0.5000 0.5000 0.0000
CELL_PARAMETERS angstrom
6.2381 0.0000 0.0000
0.0000 6.2381 0.0000
0.0000 0.0000 3.6239
! - electronic total energy (eV/atom) = -3.3756
! - energy above the most stable polymorph in this dataset (meV/atom) = 0



Entry 16:
! CaZr2Tc, optimized geometry, DFT GGA-PBE; values from VASP
&SYSTEM
  ibrav = 0, nat = 4, ntyp = 3
/
ATOMIC_SPECIES
Ca 40.08 Ca.upf
Zr 91.22 Zr.upf
Tc 98.00 Tc.upf
ATOMIC_POSITIONS crystal
Ca 0.0000 0.0000 0.0000
Zr 0.2318 0.2318 0.6707
Zr 0.7682 0.7682 0.3293
Tc 0.5000 0.5000 0.5000
CELL_PARAMETERS angstrom
4.0116 -1.6452 0.0000
4.0116 1.6452 0.0000
-0.6271 0.0000 7.7049
! - energy of formation (eV per atom) = 0.201
! - electronic total energy (eV/atom) = -7.1648
! - energy above the most stable polymorph in this dataset (meV/atom) = 227



Entry 17:
! Hf2CS, optimized geometry, DFT GGA-PBE; values from VASP
&SYSTEM
  ibrav = 0, nat = 4, ntyp = 3
/
ATOMIC_SPECIES
Hf 178.49 Hf.upf
C 12.01 C.upf
S 32.06 S.upf
ATOMIC_POSITIONS crystal
Hf 0.2317 0.2317 0.2317
Hf 0.7683 0.7683 0.7683
C 0.5000 0.5000 0.5000
S 0.0000 0.0000 0.0000
CELL_PARAMETERS angstrom
1.7047 0.9842 6.0184
-1.7047 0.9842 6.0184
0.0000 -1.9684 6.0184
! - electronic total energy (eV/atom) = -9.5659
! - energy above the most stable polymorph in this dataset (meV/atom) = 91



Entry 18:
! Dy6Y2Er5, optimized geometry, DFT GGA-PBE; values from VASP
&SYSTEM
  ibrav = 0, nat = 26, ntyp = 3
/
ATOMIC_SPECIES
Dy 162.50 Dy.upf
Y 88.91 Y.upf
Er 167.26 Er.upf
ATOMIC_POSITIONS crystal
Dy 0.0583 0.0803 0.0000
Dy 0.0829 0.3673 0.0000
Dy 0.1727 0.6322 0.5000
Dy 0.3273 0.1322 0.5000
Dy 0.4171 0.8673 0.0000
Dy 0.4417 0.5803 0.0000
Dy 0.5583 0.4197 0.0000
Dy 0.5829 0.1327 0.0000
Dy 0.6727 0.8678 0.5000
Dy 0.8273 0.3678 0.5000
Dy 0.9171 0.6327 0.0000
Dy 0.9417 0.9197 0.0000
Y 0.1641 0.7888 0.0000
Y 0.3359 0.2888 0.0000
Y 0.6641 0.7112 0.0000
Y 0.8359 0.2112 0.0000
Er 0.0000 0.5000 0.5000
Er 0.0946 0.2251 0.5000
Er 0.1989 0.9492 0.5000
Er 0.3011 0.4492 0.5000
Er 0.4054 0.7251 0.5000
Er 0.5000 0.0000 0.5000
Er 0.5946 0.2749 0.5000
Er 0.6989 0.5508 0.5000
Er 0.8011 0.0508 0.5000
Er 0.9054 0.7749 0.5000
CELL_PARAMETERS angstrom
11.6002 0.0000 0.0000
0.0000 20.0512 0.0000
0.0000 0.0000 3.5601
! - energy of formation (eV per atom) = 0.099
! - electronic total energy (eV/atom) = -4.7749



Entry 19:
! BaAc3Te4O12, optimized geometry, DFT GGA-PBE; values from VASP
&SYSTEM
  ibrav = 0, nat = 20, ntyp = 4
/
ATOMIC_SPECIES
Ba 137.33 Ba.upf
Ac 227.00 Ac.upf
Te 127.60 Te.upf
O 16.00 O.upf
ATOMIC_POSITIONS crystal
Ba 0.0000 0.0000 0.0000
Ac 0.0000 0.5700 0.4300
Ac 0.4300 0.0000 0.5700
Ac 0.5700 0.4300 0.0000
Te 0.1001 0.5000 0.8999
Te 0.5000 0.5000 0.5000
Te 0.5000 0.8999 0.1001
Te 0.8999 0.1001 0.5000
O 0.0041 0.2444 0.3419
O 0.0572 0.9428 0.5000
O 0.2444 0.3419 0.0041
O 0.3338 0.6662 0.5000
O 0.3419 0.0041 0.2444
O 0.5000 0.0572 0.9428
O 0.5000 0.3338 0.6662
O 0.6581 0.7556 0.9959
O 0.6662 0.5000 0.3338
O 0.7556 0.9959 0.6581
O 0.9428 0.5000 0.0572
O 0.9959 0.6581 0.7556
CELL_PARAMETERS angstrom
6.1487 3.5500 3.2400
-6.1487 3.5500 3.2400
0.0000 -7.0999 3.2400
! - electronic total energy (eV/atom) = -6.1563



Entry 20:
! HOs2, optimized geometry, DFT GGA-PBE; values from VASP
&SYSTEM
  ibrav = 0, nat = 3, ntyp = 2
/
ATOMIC_SPECIES
H 1.01 H.upf
Os 190.23 Os.upf
ATOMIC_POSITIONS crystal
H 0.0000 0.0000 0.0000
Os 0.2478 0.2478 0.0000
Os 0.5467 0.0467 0.5000
CELL_PARAMETERS angstrom
-1.3459 2.0018 3.6268
1.3459 -2.0018 3.6268
1.3459 2.0018 -3.6268
! - electronic total energy (eV/atom) = -7.9335
! - energy above the most stable polymorph in this dataset (meV/atom) = 383